[1]
A plane-wave DFT calculation with GGA-PBE was carried out for a relaxed La3Y2TmSb6 crystal.

Computed properties:
* final energy: -5.9434 eV/atom
* formation energy without anion corrections: -1.200 eV/atom

Lattice parameters (Å, degrees): 7.807 7.807 7.771 99.63 99.63 119.99
Element x y z (fractional)
La 0.000 0.000 0.000
La 0.333 0.667 0.000
La 0.667 0.333 0.000
Y 0.166 0.834 0.500
Y 0.834 0.166 0.500
Tm 0.500 0.500 0.500
Sb 0.090 0.422 0.264
Sb 0.248 0.248 0.737
Sb 0.422 0.090 0.264
Sb 0.578 0.910 0.736
Sb 0.752 0.752 0.263
Sb 0.910 0.578 0.736

[2]
A plane-wave DFT calculation with GGA-PBE was carried out for a relaxed TlCo2Ni crystal.

Computed properties:
* final energy: -5.0150 eV/atom
* energy relative to the lowest polymorph listed for this composition: 218 meV per atom

Lattice parameters (Å, degrees): 5.215 5.215 2.790 103.80 103.80 120.90
Element x y z (fractional)
Tl 0.000 0.000 0.000
Co 0.000 0.500 0.500
Co 0.500 0.000 0.500
Ni 0.500 0.500 0.000

[3]
A plane-wave DFT calculation with GGA-PBE was carried out for a relaxed Tb4PmHoS8 crystal.

Computed properties:
* final energy: -6.2800 eV/atom
* formation energy without anion corrections: -1.932 eV/atom

Lattice parameters (Å, degrees): 8.099 8.099 8.099 60.11 60.11 60.11
Element x y z (fractional)
Tb 0.000 0.000 0.000
Tb 0.375 0.375 0.877
Tb 0.375 0.877 0.375
Tb 0.877 0.375 0.375
Pm 0.751 0.751 0.751
Ho 0.375 0.375 0.375
S 0.132 0.132 0.132
S 0.135 0.135 0.602
S 0.135 0.602 0.135
S 0.156 0.614 0.614
S 0.602 0.135 0.135
S 0.614 0.156 0.614
S 0.614 0.614 0.156
S 0.616 0.616 0.616

[4]
A plane-wave DFT calculation with GGA-PBE was carried out for a relaxed GaTcRh2 crystal.

Computed properties:
* final energy: -7.3731 eV/atom

Lattice parameters (Å, degrees): 2.778 2.778 7.328 90.00 90.00 90.00
Element x y z (fractional)
Ga 0.000 0.000 0.000
Tc 0.000 0.000 0.500
Rh 0.500 0.500 0.244
Rh 0.500 0.500 0.756

[5]
A plane-wave DFT calculation with GGA-PBE was carried out for a relaxed FeAg3H crystal.

Computed properties:
* final energy: -3.5641 eV/atom
* energy relative to the lowest polymorph listed for this composition: 0 meV per atom

Lattice parameters (Å, degrees): 4.137 4.137 4.137 90.00 90.00 90.00
Element x y z (fractional)
Fe 0.000 0.000 0.000
Ag 0.000 0.500 0.500
Ag 0.500 0.000 0.500
Ag 0.500 0.500 0.000
H 0.500 0.500 0.500

[6]
A plane-wave DFT calculation with GGA-PBE was carried out for a relaxed ZrBeCoRh2 crystal.

Computed properties:
* final energy: -7.2251 eV/atom

Lattice parameters (Å, degrees): 4.156 4.156 4.021 90.00 90.00 90.00
Element x y z (fractional)
Zr 0.000 0.000 0.000
Be 0.500 0.500 0.500
Co 0.500 0.500 0.000
Rh 0.000 0.500 0.500
Rh 0.500 0.000 0.500

- Among the records above, which one has the highest final energy?
  FeAg3H

- What is the final energy in the third record?
  -6.2800 eV/atom

- final energy of number 3 (Tb4PmHoS8)?
  -6.2800 eV/atom

- Which value of final energy does entry 5 give?
  -3.5641 eV/atom